A plane-wave DFT calculation with PBE was carried out for a relaxed Ac3PrSm3Te8 crystal.

As for the energy: -5.2348 eV/atom. The value obtained for the total magnetic moment is 0.00 Bohr magnetons per cell. For the formation energy (no corrections), the calculation gives -34.02 kcal/mol of atoms.

a b c (Å): 9.067 9.067 9.210
angles (deg): 119.49 90.00 120.00
Element x y z (fractional)
Sm (0.000, 0.500, 0.500)
Sm (0.500, 0.500, 0.500)
Sm (0.500, 0.000, 0.500)
Te (0.256, 0.512, 0.269)
Te (0.253, 0.507, 0.741)
Te (0.744, 0.488, 0.731)
Te (0.734, 0.988, 0.741)
Te (0.747, 0.012, 0.259)
Te (0.747, 0.493, 0.259)
Te (0.266, 0.012, 0.259)
Te (0.253, 0.988, 0.741)
Ac (0.000, 0.500, 0.000)
Ac (0.000, 0.000, 0.000)
Ac (0.500, 0.500, 0.000)
Pr (0.000, 0.000, 0.500)